Record 1
Entry from Alexandria via LeMat-Bulk: a relaxed structure of ZnCrCd (PBE-GGA).

```
data_ZnCrCd
_symmetry_space_group_name_H-M 'F m m 2'
_symmetry_Int_Tables_number 42
_symmetry_space_group_name_Hall 'F 2 -2'
_cell_length_a 3.4810
_cell_length_b 4.1421
_cell_length_c 13.0274
_cell_angle_alpha 90.00
_cell_angle_beta 90.00
_cell_angle_gamma 90.00
loop_
_atom_site_label
_atom_site_fract_x
_atom_site_fract_y
_atom_site_fract_z
_atom_site_occupancy
Zn1 0.0000 0.0000 0.0000 1
Cr1 0.0000 0.0000 0.6445 1
Cd1 0.0000 0.0000 0.3145 1
```

Output
Magnetization: 0.4 μB per formula unit
Distance to the lowest polymorph of the same formula: 119 meV per atom
DOS(E_F): 0.648 states/eV/atom

***

Record 2
Entry from Alexandria via LeMat-Bulk: a relaxed structure of TlW2Cl (PBE-GGA).

```
data_TlW2Cl
_symmetry_space_group_name_H-M 'P 4/m m m'
_symmetry_Int_Tables_number 123
_symmetry_space_group_name_Hall '-P 4 2'
_cell_length_a 3.7564
_cell_length_b 3.7564
_cell_length_c 6.8455
_cell_angle_alpha 90.00
_cell_angle_beta 90.00
_cell_angle_gamma 90.00
loop_
_atom_site_label
_atom_site_fract_x
_atom_site_fract_y
_atom_site_fract_z
_atom_site_occupancy
Tl1 0.0000 0.0000 0.0000 1
W1 0.0000 0.5000 0.5000 1
Cl1 0.5000 0.5000 0.0000 1
```

Output
Magnetization: 0.3 μB per formula unit
Distance to the lowest polymorph of the same formula: 1221 meV per atom
DOS(E_F): 1.099 states/eV/atom
Energy relative to the elements, uncorrected: 1.51 eV per atom

***

> The highest magnetization belongs to which entry?

ZnCrCd